(1)
Computed, not measured: a relaxed EuThCdHg crystal at the PBE-GGA level of DFT.

## Properties
The total energy comes out at -4.956 eV/atom. The density of states at the Fermi level comes out at 4.665 states/eV/cell.

Lattice parameters (Å, degrees): 5.4603 5.4603 5.4603 60.00 60.00 60.00
Fractional coordinates of all 4 atoms:
Eu1 0.5000 0.5000 0.5000
Hg1 0.7500 0.7500 0.7500
Th1 0.0000 0.0000 0.0000
Cd1 0.2500 0.2500 0.2500

---

(2)
Computed, not measured: a relaxed Hf2CoP2 crystal at the PBE-GGA level of DFT.

## Properties
The total energy comes out at -8.407 eV/atom. The density of states at the Fermi level comes out at 3.893 states/eV/cell.

Lattice parameters (Å, degrees): 6.4320 6.4320 3.6762 90.00 90.00 90.00
Fractional coordinates of all 10 atoms:
P1 0.8555 0.6445 0.0000
P2 0.3555 0.8555 0.0000
P3 0.1445 0.3555 0.0000
P4 0.6445 0.1445 0.0000
Hf1 0.8351 0.3351 0.5000
Hf2 0.1649 0.6649 0.5000
Hf3 0.3351 0.1649 0.5000
Hf4 0.6649 0.8351 0.5000
Co1 0.0000 0.0000 0.0000
Co2 0.5000 0.5000 0.0000

---

(3)
Computed, not measured: a relaxed Sr2TiCuPd crystal at the PBE-GGA level of DFT.

## Properties
The total energy comes out at -3.318 eV/atom. The density of states at the Fermi level comes out at 4.225 states/eV/cell.

Lattice parameters (Å, degrees): 5.9563 4.5022 5.9563 90.00 90.00 90.00
Fractional coordinates of all 5 atoms:
Pd1 0.5000 0.5000 0.5000
Cu1 0.0000 0.5000 0.0000
Ti1 0.0000 0.0000 0.0000
Sr1 0.0000 0.0000 0.5000
Sr2 0.5000 0.0000 0.0000

---

Number 1: DFT formation energy -0.91 eV/f.u.. Number 2: DFT formation energy -4.20 eV/f.u.. Number 3: DFT formation energy 3.96 eV/f.u..